Model one:
V3O4F2 | GGA+U | optimized geometry

Theoretical density: 4.2 g/cm3
Spin magnetization: 5.00 μB/f.u.

abc: 5.592 5.596 7.373
angles: 71.67 71.52 70.83
Positions (direct):
V 0.000 0.000 0.000
V 0.012 0.006 0.504
V 0.340 0.328 0.178
V 0.359 0.297 0.673
V 0.641 0.649 0.831
V 0.692 0.680 0.351
O 0.113 0.098 0.707
O 0.309 0.689 0.002
O 0.386 0.958 0.337
O 0.573 0.558 0.637
O 0.656 0.005 0.680
O 0.696 0.305 0.004
O 0.909 0.898 0.300
O 0.969 0.381 0.337
F 0.042 0.620 0.682
F 0.239 0.225 0.974
F 0.450 0.433 0.375
F 0.769 0.756 0.038

***

Model two:
V3O4F2 | GGA+U | optimized geometry

Theoretical density: 4.2 g/cm3
Spin magnetization: 5.00 μB/f.u.

abc: 5.613 5.613 7.567
angles: 110.14 110.14 69.74
Positions (direct):
V 0.000 0.000 0.000
V 0.004 0.004 0.500
V 0.319 0.319 0.361
V 0.335 0.335 0.828
V 0.652 0.652 0.698
V 0.665 0.665 0.168
O 0.024 0.631 0.833
O 0.231 0.231 0.533
O 0.306 0.692 0.504
O 0.366 0.973 0.173
O 0.566 0.566 0.872
O 0.631 0.024 0.833
O 0.692 0.306 0.504
O 0.973 0.366 0.173
F 0.100 0.100 0.798
F 0.432 0.432 0.133
F 0.770 0.770 0.467
F 0.899 0.899 0.203

***

On energetic grounds, model two is preferred over the next structure by 0.006 eV/atom.

***

Model one:
V4O3F9 | GGA+U | optimized geometry

Theoretical density: 3.2 g/cm3
Spin magnetization: 5.00 μB/f.u.

abc: 5.413 5.413 9.187
angles: 106.25 106.25 58.78
Positions (direct):
V 0.113 0.113 0.379
V 0.340 0.420 0.130
V 0.580 0.660 0.870
V 0.887 0.887 0.621
O 0.054 0.946 0.500
O 0.198 0.774 0.213
O 0.226 0.802 0.787
F 0.016 0.467 0.959
F 0.044 0.468 0.540
F 0.163 0.312 0.246
F 0.532 0.956 0.460
F 0.533 0.984 0.041
F 0.562 0.438 0.000
F 0.688 0.837 0.754
F 0.695 0.300 0.289
F 0.700 0.305 0.711

***

Model two:
V4O3F9 | GGA+U | optimized geometry

Theoretical density: 3.2 g/cm3
Spin magnetization: 5.00 μB/f.u.

abc: 5.330 5.404 17.579
angles: 82.59 81.79 60.71
Positions (direct):
V 0.000 0.000 0.000
V 0.098 0.124 0.624
V 0.226 0.281 0.255
V 0.347 0.348 0.877
V 0.464 0.529 0.503
V 0.591 0.647 0.120
V 0.732 0.718 0.745
V 0.834 0.894 0.367
O 0.101 0.569 0.306
O 0.174 0.168 0.918
O 0.349 0.799 0.559
O 0.358 0.801 0.051
O 0.596 0.062 0.300
O 0.841 0.451 0.689
F 0.072 0.080 0.334
F 0.100 0.685 0.937
F 0.104 0.552 0.792
F 0.110 0.689 0.450
F 0.322 0.313 0.580
F 0.344 0.955 0.710
F 0.360 0.932 0.195
F 0.415 0.406 0.166
F 0.561 0.572 0.833
F 0.606 0.182 0.442
F 0.621 0.211 0.956
F 0.623 0.054 0.809
F 0.645 0.667 0.415
F 0.821 0.841 0.086
F 0.851 0.300 0.540
F 0.871 0.439 0.201
F 0.873 0.935 0.668
F 0.883 0.329 0.059

***

Model three:
V4O3F9 | GGA+U | optimized geometry

Theoretical density: 3.4 g/cm3
Spin magnetization: 5.00 μB/f.u.

abc: 4.984 5.037 9.246
angles: 85.60 86.27 62.24
Positions (direct):
V 0.000 0.000 0.000
V 0.025 0.592 0.756
V 0.285 0.338 0.245
V 0.718 0.284 0.495
O 0.016 0.274 0.886
O 0.061 0.642 0.142
O 0.994 0.298 0.383
F 0.289 0.019 0.136
F 0.294 0.664 0.880
F 0.374 0.322 0.635
F 0.379 0.580 0.379
F 0.611 0.034 0.386
F 0.668 0.258 0.129
F 0.732 0.566 0.631
F 0.733 0.907 0.892
F 0.976 0.946 0.625

***

On energetic grounds, model two is preferred over the next structure by 0.006 eV/atom.

***

Model one:
V4O3F9 | GGA+U | optimized geometry

N(E_F): 0.0000 states/eV per atom
Theoretical density: 3.3 g/cm3
Spin magnetization: 5.00 μB/f.u.

abc: 5.213 5.389 9.202
angles: 73.42 89.81 61.36
Positions (direct):
V 0.000 0.000 0.000
V 0.227 0.487 0.752
V 0.458 0.972 0.505
V 0.696 0.507 0.246
O 0.114 0.240 0.912
O 0.337 0.737 0.589
O 0.338 0.737 0.165
F 0.136 0.236 0.331
F 0.206 0.722 0.883
F 0.247 0.257 0.616
F 0.635 0.241 0.418
F 0.642 0.202 0.841
F 0.703 0.737 0.377
F 0.767 0.221 0.134
F 0.809 0.770 0.666
F 0.844 0.718 0.090

***

Model two:
V4O3F9 | GGA+U | optimized geometry

Theoretical density: 3.1 g/cm3
Spin magnetization: 7.00 μB/f.u.

abc: 5.387 5.569 8.721
angles: 92.69 104.86 113.42
Positions (direct):
V 0.000 0.000 0.000
V 0.077 0.326 0.445
V 0.476 0.686 0.140
V 0.853 0.746 0.553
O 0.260 0.909 0.075
O 0.703 0.504 0.195
O 0.807 0.504 0.363
F 0.043 0.516 0.636
F 0.140 0.370 0.995
F 0.195 0.036 0.527
F 0.281 0.554 0.304
F 0.494 0.532 0.587
F 0.617 0.745 0.942
F 0.720 0.013 0.452
F 0.893 0.055 0.201
F 0.966 0.963 0.775

***

Model three:
V4O3F9 | GGA+U | optimized geometry

N(E_F): 0.0037 states/eV per atom
Theoretical density: 3.3 g/cm3
Spin magnetization: 5.00 μB/f.u.

abc: 5.445 5.338 7.277
angles: 90.00 92.39 90.00
Positions (direct):
V 0.000 0.000 0.239
V 0.000 0.000 0.761
V 0.500 0.496 0.251
V 0.500 0.496 0.749
O 0.000 0.066 0.000
O 0.500 0.442 0.000
O 0.500 0.549 0.500
F 0.000 0.920 0.500
F 0.190 0.687 0.215
F 0.192 0.302 0.709
F 0.309 0.187 0.289
F 0.310 0.804 0.783
F 0.690 0.804 0.217
F 0.691 0.187 0.711
F 0.808 0.302 0.291
F 0.810 0.687 0.785

***

On energetic grounds, model one is preferred over the next structure by 0.033 eV/atom.

***

Model one:
V4O5F7 | GGA+U | optimized geometry

Theoretical density: 3.3 g/cm3
Spin magnetization: 3.00 μB/f.u.

abc: 5.376 5.376 9.085
angles: 106.93 106.93 58.18
Positions (direct):
V 0.106 0.106 0.379
V 0.317 0.408 0.121
V 0.592 0.683 0.879
V 0.894 0.894 0.621
O 0.254 0.736 0.704
O 0.264 0.746 0.296
O 0.457 0.040 0.967
O 0.889 0.111 0.500
O 0.960 0.543 0.033
F 0.303 0.199 0.259
F 0.413 0.587 0.000
F 0.432 0.075 0.545
F 0.761 0.237 0.785
F 0.763 0.239 0.215
F 0.801 0.697 0.741
F 0.925 0.568 0.455

***

Model two:
V4O5F7 | GGA+U | optimized geometry

Theoretical density: 3.2 g/cm3
Spin magnetization: 3.00 μB/f.u.

abc: 5.321 5.344 9.147
angles: 74.00 89.56 60.33
Positions (direct):
V 0.000 0.000 0.000
V 0.217 0.520 0.757
V 0.464 0.979 0.506
V 0.749 0.480 0.275
O 0.098 0.250 0.363
O 0.105 0.248 0.922
O 0.145 0.753 0.898
O 0.313 0.728 0.620
O 0.636 0.763 0.392
F 0.265 0.236 0.645
F 0.295 0.758 0.175
F 0.589 0.275 0.426
F 0.620 0.229 0.870
F 0.761 0.244 0.141
F 0.797 0.757 0.678
F 0.800 0.751 0.108

***

Model three:
V4O5F7 | GGA+U | optimized geometry

Theoretical density: 3.3 g/cm3
Spin magnetization: 3.00 μB/f.u.

abc: 5.417 5.241 7.473
angles: 90.00 92.49 90.00
Positions (direct):
V 0.030 0.000 0.245
V 0.461 0.499 0.759
V 0.539 0.499 0.241
V 0.970 0.000 0.755
O 0.205 0.668 0.717
O 0.216 0.245 0.212
O 0.500 0.538 0.000
O 0.784 0.245 0.788
O 0.795 0.668 0.283
F 0.000 0.047 0.500
F 0.000 0.869 0.000
F 0.292 0.170 0.792
F 0.297 0.751 0.298
F 0.500 0.396 0.500
F 0.703 0.751 0.702
F 0.708 0.170 0.208

***

Model four:
V4O5F7 | GGA+U | optimized geometry

Theoretical density: 3.3 g/cm3
Spin magnetization: 3.00 μB/f.u.

abc: 5.315 5.335 9.067
angles: 90.81 105.72 119.16
Positions (direct):
V 0.000 0.000 0.000
V 0.006 0.529 0.494
V 0.455 0.228 0.744
V 0.523 0.759 0.252
O 0.221 0.926 0.606
O 0.232 0.583 0.388
O 0.243 0.083 0.897
O 0.704 0.924 0.125
O 0.722 0.609 0.344
F 0.201 0.415 0.106
F 0.227 0.915 0.179
F 0.231 0.432 0.676
F 0.727 0.450 0.626
F 0.728 0.096 0.414
F 0.729 0.088 0.843
F 0.740 0.587 0.914

***

On energetic grounds, model two is preferred over the next structure by 0.007 eV/atom.

***

Model one:
V2O3F | GGA+U | optimized geometry

Theoretical density: 4.2 g/cm3
Spin magnetization: 3.00 μB/f.u.

abc: 5.587 5.587 5.587
angles: 114.63 109.94 104.01
Positions (direct):
V 0.000 0.000 0.500
V 0.000 0.500 0.000
V 0.456 0.206 0.250
V 0.544 0.794 0.750
O 0.195 0.945 0.250
O 0.308 0.000 0.808
O 0.308 0.500 0.308
O 0.692 0.000 0.192
O 0.692 0.500 0.692
O 0.805 0.055 0.750
F 0.202 0.452 0.750
F 0.798 0.548 0.250

***

Model two:
V2O3F | GGA+U | optimized geometry

N(E_F): 0.2977 states/eV per atom
Theoretical density: 4.3 g/cm3
Spin magnetization: 3.00 μB/f.u.

abc: 7.357 7.357 6.408
angles: 90.00 90.00 130.99
Positions (direct):
V 0.113 0.887 0.750
V 0.127 0.384 0.750
V 0.374 0.626 0.250
V 0.384 0.127 0.250
V 0.616 0.873 0.750
V 0.626 0.374 0.750
V 0.873 0.616 0.250
V 0.887 0.113 0.250
O 0.026 0.974 0.250
O 0.126 0.375 0.051
O 0.126 0.375 0.449
O 0.277 0.723 0.750
O 0.375 0.126 0.551
O 0.375 0.126 0.949
O 0.625 0.874 0.051
O 0.625 0.874 0.449
O 0.723 0.277 0.250
O 0.874 0.625 0.551
O 0.874 0.625 0.949
O 0.974 0.026 0.750
F 0.224 0.776 0.250
F 0.474 0.526 0.750
F 0.526 0.474 0.250
F 0.776 0.224 0.750

***

Model three:
V2O3F | GGA+U | optimized geometry

Theoretical density: 3.9 g/cm3
Spin magnetization: 3.00 μB/f.u.

abc: 10.464 4.835 5.680
angles: 90.00 90.00 90.00
Positions (direct):
V 0.030 0.076 0.000
V 0.235 0.569 0.231
V 0.265 0.069 0.731
V 0.470 0.576 0.500
V 0.530 0.424 0.000
V 0.735 0.931 0.231
V 0.765 0.431 0.731
V 0.970 0.924 0.500
O 0.086 0.813 0.245
O 0.097 0.864 0.739
O 0.163 0.302 0.990
O 0.337 0.802 0.490
O 0.403 0.364 0.239
O 0.414 0.313 0.745
O 0.586 0.687 0.245
O 0.597 0.636 0.739
O 0.663 0.198 0.990
O 0.837 0.698 0.490
O 0.903 0.136 0.239
O 0.914 0.187 0.745
F 0.174 0.309 0.485
F 0.326 0.809 0.985
F 0.674 0.191 0.485
F 0.826 0.691 0.985

***

On energetic grounds, model one is preferred over the next structure by 0.033 eV/atom.